The following is a DFT calculation (GGA-PBE) of crystalline PmPtRhO6 at its relaxed geometry.

## Properties
M_tot ... 3.76 Bohr magnetons per cell
ρ ... 8053 kg/m3
Formation energy without anion corrections ... -110 kJ per mole of atoms
Uncorrected energy ... -0.237 Ha/atom

Cell: 5.433 5.433 8.696 Å, 90.00 90.00 120.00°
Site moments in Bohr magnetons follow the coordinates.
Fractional positions:
Pm  0.333  0.667  0.250  0.00
Pm  0.667  0.333  0.750  0.00
Pt  0.667  0.333  0.250  0.14
Pt  0.333  0.667  0.750  0.14
Rh  0.000  0.000  0.000  0.66
Rh  0.000  0.000  0.500  0.66
O  0.695  0.661  0.117  0.15
O  0.966  0.305  0.117  0.15
O  0.305  0.966  0.617  0.15
O  0.034  0.695  0.883  0.15
O  0.339  0.305  0.383  0.15
O  0.966  0.661  0.383  0.15
O  0.661  0.966  0.883  0.15
O  0.695  0.034  0.383  0.15
O  0.034  0.339  0.617  0.15
O  0.339  0.034  0.117  0.15
O  0.661  0.695  0.617  0.15
O  0.305  0.339  0.883  0.15